(1)
KZnRe2: optimized geometry, PBE.

a b c (Å): 5.9510 5.9510 2.6380
angles (deg): 99.58 99.58 124.92
Closest atoms and distances in Å follow each position.
Positions (direct):
1 K 0.0000 0.0000 0.0000  2 K 2.64, 2 Zn 2.75
2 Zn 0.5000 0.5000 0.0000  2 Zn 2.64, 2 K 2.75
3 Re 0.0000 0.5000 0.5000  4 Re 2.64-2.75
4 Re 0.5000 0.0000 0.5000  4 Re 2.64-2.75

Output
For the formation energy, the calculation gives 4.9 eV/f.u. As for the density: 11.1 g cm⁻³. The calculated total energy is -5.604 eV per atom.

=====

(2)
KZnRe2: optimized geometry, PBE.

a b c (Å): 3.2986 3.2986 7.8322
angles (deg): 90.00 90.00 90.00
Closest atoms and distances in Å follow each position.
Positions (direct):
1 K 0.0000 0.0000 0.0000  4 K 3.30, 8 Re 3.61
2 Zn 0.0000 0.0000 0.5000  8 Re 2.60
3 Re 0.5000 0.5000 0.3525  1 Re 2.31
4 Re 0.5000 0.5000 0.6475  1 Re 2.31

Output
For the formation energy, the calculation gives 4.5 eV/f.u. As for the density: 9.3 g cm⁻³. The calculated total energy is -5.687 eV per atom.

=====

(3)
KZnRe: optimized geometry, PBE.

a b c (Å): 2.8100 2.8100 8.2243
angles (deg): 90.00 90.00 120.00
Closest atoms and distances in Å follow each position.
Positions (direct):
1 K 0.0000 0.0000 0.0000  6 K 2.81
2 Zn 0.6667 0.3333 0.6331  3 Re 2.78, 6 Zn 2.81
3 Re 0.3333 0.6667 0.3589  3 Zn 2.78, 6 Re 2.81

Output
For the formation energy, the calculation gives 2.6 eV/f.u. As for the density: 8.6 g cm⁻³. The calculated total energy is -4.087 eV per atom.

=====

(4)
KZnRe: optimized geometry, PBE.

a b c (Å): 6.6060 6.6060 6.6060
angles (deg): 157.17 141.10 45.58
Closest atoms and distances in Å follow each position.
Positions (direct):
1 K 0.0000 0.0000 0.0000  2 K 2.62
2 Zn 0.2744 0.2744 0.0000  2 Zn 2.62, 4 Re 2.64
3 Re 0.7216 0.7216 0.0000  2 Re 2.62, 4 Zn 2.64

Output
For the formation energy, the calculation gives 2.6 eV/f.u. As for the density: 6.9 g cm⁻³. The calculated total energy is -4.072 eV per atom.